(1)
The following is a DFT calculation (PBE) of a relaxed MnTeSe2 crystal.

## Properties
For the density of states at the Fermi level, the calculation gives 1.76 states/eV per cell. As for the volume: 23.69 Å³/atom. Its uncorrected formation energy is -18 meV/atom. The energy comes out at -4.8383 eV per atom.

a = 2.9800 Å, b = 2.9800 Å, c = 10.6710 Å
α = 90.00°, β = 90.00°, γ = 90.00°
Space group P4/mmm (No. 123)
Symmetry-distinct sites (fractional):
1 Mn 0.0000 0.0000 0.0000 [1 per cell]
2 Te 0.0000 0.0000 0.5000 [1 per cell]
3 Se 0.5000 0.5000 0.1388 [2 per cell]

=====

(2)
The following is a DFT calculation (PBE) of a relaxed YRe2Si crystal.

## Properties
For the density of states at the Fermi level, the calculation gives 16.98 states/eV per cell. As for the volume: 16.83 Å³/atom. Its uncorrected formation energy is 318 meV/atom. The energy comes out at -8.8781 eV per atom.

a = 6.4580 Å, b = 6.4580 Å, c = 6.4580 Å
α = 90.00°, β = 90.00°, γ = 90.00°
Space group F-43m (No. 216)
Symmetry-distinct sites (fractional):
1 Y 0.0000 0.0000 0.0000 [4 per cell]
2 Re 0.0000 0.0000 0.5000 [4 per cell]
3 Re 0.2500 0.2500 0.7500 [4 per cell]
4 Si 0.2500 0.2500 0.2500 [4 per cell]

=====

(3)
The following is a DFT calculation (PBE) of a relaxed Ca2Cu5Ni2Ag crystal.

## Properties
For the density of states at the Fermi level, the calculation gives 4.98 states/eV per cell. As for the volume: 15.78 Å³/atom. The energy comes out at -3.9405 eV per atom.

a = 9.0355 Å, b = 9.0355 Å, c = 3.8651 Å
α = 90.00°, β = 90.00°, γ = 90.00°
Space group P4/mbm (No. 127)
Symmetry-distinct sites (fractional):
1 Ca 0.1809 0.3191 0.0000 [4 per cell]
2 Cu 0.0000 0.5000 0.5000 [2 per cell]
3 Cu 0.0630 0.7862 0.5000 [8 per cell]
4 Ni 0.1142 0.6142 0.0000 [4 per cell]
5 Ag 0.0000 0.0000 0.0000 [2 per cell]

=====

(4)
The following is a DFT calculation (PBE) of a relaxed KSc2Rh crystal.

## Properties
For the density of states at the Fermi level, the calculation gives 7.82 states/eV per cell. As for the volume: 22.15 Å³/atom. As for the energy above the most stable polymorph in this dataset: 0.678 eV/atom. The energy comes out at -4.8406 eV per atom.

a = 4.1271 Å, b = 4.1271 Å, c = 10.4035 Å
α = 90.00°, β = 90.00°, γ = 90.00°
Space group I-4m2 (No. 119)
Symmetry-distinct sites (fractional):
1 K 0.0000 0.0000 0.0000 [2 per cell]
2 Sc 0.0000 0.0000 0.5000 [2 per cell]
3 Sc 0.0000 0.5000 0.2500 [2 per cell]
4 Rh 0.0000 0.5000 0.7500 [2 per cell]

=====

(5)
The following is a DFT calculation (PBE) of a relaxed In2AuN2 crystal.

## Properties
For the density of states at the Fermi level, the calculation gives 2.00 states/eV per cell. As for the volume: 21.52 Å³/atom. As for the energy above the most stable polymorph in this dataset: 0.000 eV/atom. Its uncorrected formation energy is 537 meV/atom. The energy comes out at -4.5439 eV per atom.

a = 4.5655 Å, b = 4.5655 Å, c = 10.3230 Å
α = 90.00°, β = 90.00°, γ = 90.00°
Space group I4/mmm (No. 139)
Symmetry-distinct sites (fractional):
1 In 0.0000 0.5000 0.2500 [4 per cell]
2 Au 0.0000 0.0000 0.0000 [2 per cell]
3 N 0.0000 0.0000 0.2033 [4 per cell]

=====

(6)
The following is a DFT calculation (PBE) of a relaxed KP2Au crystal.

## Properties
For the density of states at the Fermi level, the calculation gives 2.26 states/eV per cell. As for the volume: 24.57 Å³/atom. As for the energy above the most stable polymorph in this dataset: 0.218 eV/atom. The energy comes out at -3.9032 eV per atom.

a = 10.4043 Å, b = 3.3163 Å, c = 6.4580 Å
α = 90.00°, β = 118.08°, γ = 90.00°
Space group C2/m (No. 12)
Symmetry-distinct sites (fractional):
1 K 0.0000 0.0000 0.0000 [2 per cell]
2 P 0.2130 0.0000 0.5846 [4 per cell]
3 Au 0.0000 0.5000 0.5000 [2 per cell]

=====

(7)
The following is a DFT calculation (PBE) of a relaxed KCrFeS3 crystal.

## Properties
For the density of states at the Fermi level, the calculation gives 4.49 states/eV per cell. As for the volume: 20.30 Å³/atom. Its uncorrected formation energy is -799 meV/atom. The energy comes out at -6.0596 eV per atom.

a = 8.1832 Å, b = 3.5815 Å, c = 9.1204 Å
α = 90.00°, β = 114.34°, γ = 90.00°
Space group P2_1/m (No. 11)
Symmetry-distinct sites (fractional):
1 K 0.2343 0.2500 0.2493 [2 per cell]
2 Cr 0.3191 0.7500 0.8436 [2 per cell]
3 Fe 0.0862 0.2500 0.6025 [2 per cell]
4 S 0.1260 0.2500 0.8593 [2 per cell]
5 S 0.2342 0.7500 0.5554 [2 per cell]
6 S 0.4739 0.7500 0.1311 [2 per cell]

=====

(8)
The following is a DFT calculation (PBE) of a relaxed SrWSe2N crystal.

## Properties
For the density of states at the Fermi level, the calculation gives 1.61 states/eV per cell. As for the volume: 20.94 Å³/atom. As for the energy above the most stable polymorph in this dataset: 0.000 eV/atom. Its uncorrected formation energy is -683 meV/atom. The energy comes out at -6.6690 eV per atom.

a = 5.1819 Å, b = 5.1819 Å, c = 3.8987 Å
α = 90.00°, β = 90.00°, γ = 90.00°
Space group P4/mmm (No. 123)
Symmetry-distinct sites (fractional):
1 Sr 0.0000 0.0000 0.0000 [1 per cell]
2 W 0.5000 0.5000 0.5000 [1 per cell]
3 Se 0.0000 0.5000 0.5000 [2 per cell]
4 N 0.5000 0.5000 0.0000 [1 per cell]

=====

(9)
The following is a DFT calculation (PBE) of a relaxed PaFe2Co crystal.

## Properties
For the density of states at the Fermi level, the calculation gives 14.89 states/eV per cell. As for the volume: 15.55 Å³/atom. As for the energy above the most stable polymorph in this dataset: 0.103 eV/atom. The energy comes out at -8.4616 eV per atom.

a = 4.1796 Å, b = 4.1796 Å, c = 12.3363 Å
α = 90.00°, β = 90.00°, γ = 120.00°
Space group R-3m (No. 166, hexagonal axes)
Symmetry-distinct sites (fractional):
1 Pa 0.0000 0.0000 0.0000 [3 per cell]
2 Fe 0.0000 0.0000 0.1868 [6 per cell]
3 Co 0.0000 0.0000 0.5000 [3 per cell]

=====

(10)
The following is a DFT calculation (PBE) of a relaxed HfZr3Ag crystal.

## Properties
For the density of states at the Fermi level, the calculation gives 19.45 states/eV per cell. As for the volume: 26.84 Å³/atom. As for the energy above the most stable polymorph in this dataset: 0.919 eV/atom. The energy comes out at -6.6862 eV per atom.

a = 5.1195 Å, b = 5.1195 Å, c = 5.1195 Å
α = 90.00°, β = 90.00°, γ = 90.00°
Space group Pm-3m (No. 221)
Symmetry-distinct sites (fractional):
1 Hf 0.0000 0.0000 0.0000 [1 per cell]
2 Zr 0.0000 0.5000 0.5000 [3 per cell]
3 Ag 0.5000 0.5000 0.5000 [1 per cell]

=====

(11)
The following is a DFT calculation (PBE) of a relaxed PaSiTe crystal.

## Properties
For the density of states at the Fermi level, the calculation gives 12.34 states/eV per cell. As for the volume: 28.72 Å³/atom. As for the energy above the most stable polymorph in this dataset: 0.188 eV/atom. Its uncorrected formation energy is -426 meV/atom. The energy comes out at -6.4465 eV per atom.

a = 4.0048 Å, b = 21.9159 Å, c = 3.9266 Å
α = 90.00°, β = 90.00°, γ = 90.00°
Space group Cmcm (No. 63)
Symmetry-distinct sites (fractional):
1 Pa 0.0000 0.0781 0.2500 [4 per cell]
2 Si 0.0000 0.4680 0.2500 [4 per cell]
3 Te 0.0000 0.1797 0.7500 [4 per cell]

=====

(12)
The following is a DFT calculation (PBE) of a relaxed TcAg2Ir crystal.

## Properties
For the density of states at the Fermi level, the calculation gives 19.13 states/eV per cell. As for the volume: 18.08 Å³/atom. As for the energy above the most stable polymorph in this dataset: 0.965 eV/atom. The energy comes out at -5.0996 eV per atom.

a = 7.5091 Å, b = 7.5091 Å, c = 5.1301 Å
α = 90.00°, β = 90.00°, γ = 90.00°
Space group I-42d (No. 122)
Symmetry-distinct sites (fractional):
1 Tc 0.0000 0.0000 0.0000 [4 per cell]
2 Ag 0.2452 0.7500 0.6250 [8 per cell]
3 Ir 0.0000 0.0000 0.5000 [4 per cell]

=====

(13)
The following is a DFT calculation (PBE) of a relaxed Ni2HPdRu crystal.

## Properties
For the density of states at the Fermi level, the calculation gives 6.30 states/eV per cell. As for the volume: 13.21 Å³/atom. As for the energy above the most stable polymorph in this dataset: 0.645 eV/atom. The energy comes out at -5.0902 eV per atom.

a = 4.5764 Å, b = 4.5764 Å, c = 3.1526 Å
α = 90.00°, β = 90.00°, γ = 90.00°
Space group P4/mmm (No. 123)
Symmetry-distinct sites (fractional):
1 Ni 0.0000 0.5000 0.0000 [2 per cell]
2 H 0.0000 0.0000 0.5000 [1 per cell]
3 Pd 0.5000 0.5000 0.5000 [1 per cell]
4 Ru 0.0000 0.0000 0.0000 [1 per cell]

=====

(14)
The following is a DFT calculation (PBE) of a relaxed PrBi5Rh3 crystal.

## Properties
For the density of states at the Fermi level, the calculation gives 18.72 states/eV per cell. As for the volume: 28.27 Å³/atom. The energy comes out at -5.3207 eV per atom.

a = 12.3311 Å, b = 8.8739 Å, c = 9.9725 Å
α = 90.00°, β = 111.17°, γ = 90.00°
Space group C2/m (No. 12)
Symmetry-distinct sites (fractional):
1 Pr 0.1044 0.0000 0.2961 [4 per cell]
2 Bi 0.0000 0.3032 0.0000 [4 per cell]
3 Bi 0.0759 0.5000 0.3792 [4 per cell]
4 Bi 0.1725 0.2002 0.6481 [8 per cell]
5 Bi 0.2327 0.0000 0.0274 [4 per cell]
6 Rh 0.0000 0.0000 0.0000 [2 per cell]
7 Rh 0.0000 0.0000 0.5000 [2 per cell]
8 Rh 0.1622 0.5000 0.6821 [4 per cell]
9 Rh 0.1655 0.5000 0.1691 [4 per cell]

=====

(15)
The following is a DFT calculation (PBE) of a relaxed CrRuPt2 crystal.

## Properties
For the density of states at the Fermi level, the calculation gives 11.33 states/eV per cell. As for the volume: 14.67 Å³/atom. The energy comes out at -7.7531 eV per atom.

a = 9.0764 Å, b = 2.7932 Å, c = 4.7068 Å
α = 90.00°, β = 100.50°, γ = 90.00°
Space group C2/m (No. 12)
Symmetry-distinct sites (fractional):
1 Cr 0.0000 0.0000 0.0000 [2 per cell]
2 Ru 0.0000 0.5000 0.5000 [2 per cell]
3 Pt 0.2493 0.5000 0.2504 [4 per cell]

=====

(16)
The following is a DFT calculation (PBE) of a relaxed Ta2FeNi crystal.

## Properties
For the density of states at the Fermi level, the calculation gives 4.46 states/eV per cell. As for the volume: 14.30 Å³/atom. The energy comes out at -9.3843 eV per atom.

a = 6.1164 Å, b = 6.1164 Å, c = 6.1164 Å
α = 90.00°, β = 90.00°, γ = 90.00°
Space group F-43m (No. 216)
Symmetry-distinct sites (fractional):
1 Ta 0.0000 0.0000 0.0000 [4 per cell]
2 Ta 0.2500 0.2500 0.2500 [4 per cell]
3 Fe 0.0000 0.0000 0.5000 [4 per cell]
4 Ni 0.2500 0.2500 0.7500 [4 per cell]

=====

(17)
The following is a DFT calculation (PBE) of a relaxed BaCd2Te crystal.

## Properties
For the density of states at the Fermi level, the calculation gives 1.31 states/eV per cell. As for the volume: 34.82 Å³/atom. Its uncorrected formation energy is -656 meV/atom. The energy comes out at -2.3794 eV per atom.

a = 4.5211 Å, b = 4.5186 Å, c = 6.8171 Å
α = 90.00°, β = 90.25°, γ = 90.00°
Space group Pm (No. 6)
Symmetry-distinct sites (fractional):
1 Ba 0.0000 0.0000 0.0000 [1 per cell]
2 Cd 0.4963 0.0000 0.5659 [1 per cell]
3 Cd 0.9963 0.5000 0.5654 [1 per cell]
4 Te 0.5011 0.5000 0.1941 [1 per cell]

=====

(18)
The following is a DFT calculation (PBE) of a relaxed CaDy3Fe crystal.

## Properties
For the density of states at the Fermi level, the calculation gives 2.79 states/eV per cell. As for the volume: 29.90 Å³/atom. The energy comes out at -4.8059 eV per atom.

a = 5.3074 Å, b = 5.3074 Å, c = 5.3074 Å
α = 90.00°, β = 90.00°, γ = 90.00°
Space group Pm-3m (No. 221)
Symmetry-distinct sites (fractional):
1 Ca 0.0000 0.0000 0.0000 [1 per cell]
2 Dy 0.0000 0.5000 0.5000 [3 per cell]
3 Fe 0.5000 0.5000 0.5000 [1 per cell]

=====

(19)
The following is a DFT calculation (PBE) of a relaxed Er2AlGa3Cu4 crystal.

## Properties
For the density of states at the Fermi level, the calculation gives 4.55 states/eV per cell. As for the volume: 16.99 Å³/atom. The energy comes out at -4.2582 eV per atom.

a = 4.0815 Å, b = 4.0815 Å, c = 10.2007 Å
α = 90.00°, β = 90.00°, γ = 90.00°
Space group P-4m2 (No. 115)
Symmetry-distinct sites (fractional):
1 Er 0.0000 0.5000 0.2444 [2 per cell]
2 Al 0.0000 0.0000 0.5000 [1 per cell]
3 Ga 0.0000 0.5000 0.8682 [2 per cell]
4 Ga 0.5000 0.5000 0.5000 [1 per cell]
5 Cu 0.0000 0.0000 0.0000 [1 per cell]
6 Cu 0.0000 0.5000 0.6361 [2 per cell]
7 Cu 0.5000 0.5000 0.0000 [1 per cell]

=====

(20)
The following is a DFT calculation (PBE) of a relaxed KMo3 crystal.

## Properties
For the density of states at the Fermi level, the calculation gives 11.34 states/eV per cell. As for the volume: 20.28 Å³/atom. As for the energy above the most stable polymorph in this dataset: 0.653 eV/atom. The energy comes out at -7.0069 eV per atom.

a = 2.8891 Å, b = 5.4899 Å, c = 10.2298 Å
α = 90.00°, β = 90.00°, γ = 90.00°
Space group Immm (No. 71)
Symmetry-distinct sites (fractional):
1 K 0.0000 0.0000 0.0000 [2 per cell]
2 Mo 0.0000 0.0000 0.5000 [2 per cell]
3 Mo 0.0000 0.5000 0.2082 [4 per cell]